The following is a PBE calculation of a relaxed Be2InAs crystal, from Alexandria via LeMat-Bulk.

ΔE_f = 0.46 eV/atom
E = -3.245 eV/atom
ΔE to the lowest computed polymorph = 223 meV per atom

Cell and atoms, written as POSCAR:
```
Be2InAs
1.0
2.8387 0.0000 0.0000
0.0000 3.4825 0.0000
-0.2496 0.0000 6.7932
Be In As
2 1 1
Direct
0.0117 0.0000 0.2874
0.9883 0.0000 0.7126
0.5000 0.5000 0.0000
0.0000 0.5000 0.5000
```